PaTa2Tl2Se6 | GGA-PBE | optimized geometry

```
11
Lattice="3.314 -5.519 0.000 3.314 5.519 0.000 -1.553 0.000 8.273" Properties=species:S:1:pos:R:3 pbc="T T T"
Pa 0.000 0.000 0.000
Ta 3.314 1.458 0.000
Ta 3.314 -1.458 0.000
Tl 2.538 3.551 4.137
Tl 2.538 -3.551 4.137
Se 1.216 2.008 1.522
Se 0.669 0.000 6.441
Se 1.216 -2.008 1.522
Se 3.860 2.008 6.751
Se 4.406 0.000 1.832
Se 3.860 -2.008 6.751
```

Output
- V (Å³/atom) = 27.5
- symmetry = C2/m, No. 12
- energy (eV per atom) = -6.1416

Tb2Pa2Se7 | GGA-PBE | optimized geometry

```
11
Lattice="-2.017 7.388 4.528 2.017 -7.388 4.528 2.017 7.388 -4.528" Properties=species:S:1:pos:R:3 pbc="T T T"
Tb 0.000 0.000 0.000
Tb 0.000 7.388 0.370
Pa 0.000 3.539 2.081
Pa 0.000 11.236 2.081
Se 2.017 2.095 0.379
Se 2.017 -2.701 3.912
Se 0.000 0.000 2.832
Se 2.017 5.743 1.990
Se 2.017 2.701 3.912
Se 0.000 1.644 6.519
Se 0.000 5.293 4.907
```

Output
- V (Å³/atom) = 24.5
- symmetry = Imm2, No. 44
- energy (eV per atom) = -6.3664